SrAc2Ce, relaxed, DFT PBE; volume = 43.6 Å³/atom; energy relative to the elements = 0.9 eV per formula unit; size of the total moment = 0.8 μB per cell; E above lowest polymorph = 10.2 kJ per mole of atoms; density = 6.49 Mg/m³; symmetry = R-3m, No. 166
1.0
3.850 0.000 0.000
1.925 3.335 0.000
1.925 1.112 13.575
Sr Ac Ce
1 2 1
direct
0.000 0.000 0.000
0.093 0.093 0.720
0.907 0.907 0.280
0.500 0.500 0.500